The following is a DFT calculation (PBE with a Hubbard U) of a relaxed structure of Li4TiCo5O12.

* relative energy among the computed polymorphs: 0.0 meV per atom

a b c (Å): 4.9054 4.9054 9.9562
angles (deg): 94.65 94.65 120.05
Sites, in units of the cell vectors:
Li  0.0807  0.7474  0.7447
Li  0.2526  0.9193  0.2553
Li  0.7474  0.0807  0.7447
Li  0.9193  0.2526  0.2553
Ti  0.5000  0.5000  0.0000
Co  0.0000  0.0000  0.5000
Co  0.1666  0.8334  0.0000
Co  0.3344  0.6656  0.5000
Co  0.6656  0.3344  0.5000
Co  0.8334  0.1666  0.0000
O  0.0271  0.3633  0.6014
O  0.1219  0.1219  0.8920
O  0.1932  0.5357  0.1081
O  0.2897  0.2897  0.3976
O  0.3633  0.0271  0.6014
O  0.4643  0.8068  0.8919
O  0.5357  0.1932  0.1081
O  0.6367  0.9729  0.3986
O  0.7103  0.7103  0.6024
O  0.8068  0.4643  0.8919
O  0.8781  0.8781  0.1080
O  0.9729  0.6367  0.3986